Run P
Crystalline V2PdS2 at its relaxed geometry, computed with PBE.

```
V2PdS2
1.0
6.744 0.000 0.000
0.000 6.744 0.000
0.000 0.000 2.955
S Pd V
4 2 4
Cartesian
2.365 5.737 0.000
5.737 4.379 0.000
4.379 1.007 0.000
1.007 2.365 0.000
0.000 0.000 0.000
3.372 3.372 0.000
0.973 4.345 1.477
4.345 5.771 1.477
5.771 2.399 1.477
2.399 0.973 1.477
```



Run Q
Crystalline V2PdS2 at its relaxed geometry, computed with PBE.

```
V2PdS2
1.0
-1.739 2.181 2.977
-3.227 -2.495 -0.057
-0.541 -2.738 4.485
S Pd V
2 1 2
Cartesian
-1.961 -0.850 2.273
-3.546 -2.202 5.132
0.000 0.000 0.000
-2.382 -0.357 4.461
-3.126 -2.695 2.944
```



Calculated relative energies: run P 0.000; run Q 0.025, given in eV/atom



Run P
Crystalline VPd2S4 at its relaxed geometry, computed with PBE.

```
VPd2S4
1.0
4.754 0.000 0.000
0.000 4.754 0.000
2.377 2.377 5.794
S Pd V
4 2 1
Cartesian
2.377 2.377 3.584
4.754 4.754 2.211
0.000 2.377 0.000
2.377 0.000 0.000
2.377 2.377 1.307
4.754 4.754 4.488
0.000 0.000 0.000
```



Run Q
Crystalline VPd2S4 at its relaxed geometry, computed with PBE.

```
VPd2S4
1.0
3.253 0.000 0.000
-1.627 6.202 0.000
0.000 0.000 11.391
V Pd S
2 4 8
Cartesian
1.627 1.462 8.543
0.000 4.740 2.848
0.000 1.622 4.837
1.627 4.580 10.532
0.000 1.622 0.859
1.627 4.580 6.555
1.627 3.674 1.378
1.627 3.674 4.318
0.000 2.528 10.013
0.000 2.528 7.074
1.627 5.880 8.543
0.000 0.322 2.848
1.627 0.000 0.000
1.627 0.000 5.696
```



Calculated relative energies: run P 0.394; run Q 0.000, given in eV/atom



Run P
Crystalline VPd3S at its relaxed geometry, computed with PBE.

```
VPd3S
1.0
-4.307 -1.617 -0.429
1.229 -2.253 -3.842
1.136 -3.695 2.530
S Pd V
1 3 1
Cartesian
-0.971 -3.783 -0.870
0.614 -1.126 -1.921
0.568 -1.848 1.265
-2.153 -0.809 -0.214
0.000 0.000 0.000
```



Run Q
Crystalline VPd3S at its relaxed geometry, computed with PBE.

```
VPd3S
1.0
4.478 0.000 0.000
0.000 4.478 0.000
0.000 0.000 4.478
S Pd V
1 3 1
Cartesian
0.000 0.000 0.000
0.000 2.239 0.000
0.000 0.000 2.239
2.239 0.000 0.000
2.239 2.239 2.239
```



Calculated relative energies: run P 0.745; run Q 0.000, given in eV/atom



Run P
Crystalline PdW3S at its relaxed geometry, computed with PBE.

```
PdW3S
1.0
-1.788 -2.166 3.834
3.919 1.104 2.452
-2.008 4.084 1.371
S Pd W
1 1 3
Cartesian
0.061 1.511 3.828
0.000 0.000 0.000
1.959 0.552 1.226
-1.004 2.042 0.685
-0.894 -1.083 1.917
```



Run Q
Crystalline PdW3S at its relaxed geometry, computed with PBE.

```
PdW3S
1.0
4.399 0.000 0.000
0.000 4.399 0.000
0.000 0.000 4.399
S Pd W
1 1 3
Cartesian
0.000 0.000 0.000
2.200 2.200 2.200
0.000 2.200 0.000
0.000 0.000 2.200
2.200 0.000 0.000
```



Calculated relative energies: run P 1.672; run Q 0.000, given in eV/atom



Run P
Crystalline YPd3S at its relaxed geometry, computed with PBE.

```
YPd3S
1.0
-1.973 -1.220 -4.458
4.622 -0.478 -1.915
0.041 -4.852 1.310
Y S Pd
1 1 3
Cartesian
0.000 0.000 0.000
1.345 -3.275 -2.532
2.311 -0.239 -0.958
0.021 -2.426 0.655
-0.987 -0.610 -2.229
```



Run Q
Crystalline YPd3S at its relaxed geometry, computed with PBE.

```
YPd3S
1.0
4.580 0.000 0.000
0.000 4.580 0.000
0.000 0.000 4.580
Y S Pd
1 1 3
Cartesian
2.290 2.290 2.290
0.000 0.000 0.000
0.000 2.290 0.000
0.000 0.000 2.290
2.290 0.000 0.000
```



Calculated relative energies: run P 1.354; run Q 0.000, given in eV/atom



Run P
Crystalline Zn3PdS at its relaxed geometry, computed with PBE.

```
Zn3PdS
1.0
4.598 0.000 0.000
0.000 4.598 0.000
0.000 0.000 4.598
Zn S Pd
3 1 1
Cartesian
0.000 2.299 0.000
0.000 0.000 2.299
2.299 0.000 0.000
0.000 0.000 0.000
2.299 2.299 2.299
```



Run Q
Crystalline Zn3PdS at its relaxed geometry, computed with PBE.

```
Zn3PdS
1.0
-2.762 3.854 0.570
-3.874 -2.791 0.097
0.412 -0.407 4.740
Zn S Pd
3 1 1
Cartesian
-1.937 -1.395 0.049
0.206 -0.203 2.370
-1.381 1.927 0.285
-3.112 0.328 2.704
0.000 0.000 0.000
```



Calculated relative energies: run P 0.210; run Q 0.000, given in eV/atom



Run P
Crystalline ZrPdS3 at its relaxed geometry, computed with PBE.

```
ZrPdS3
1.0
-4.805 -0.764 0.962
0.604 -4.852 -0.833
1.069 -0.690 4.794
S Zr Pd
3 1 1
Cartesian
0.302 -2.426 -0.417
0.535 -0.345 2.397
-2.403 -0.382 0.481
0.000 0.000 0.000
-1.566 -3.153 2.461
```



Run Q
Crystalline ZrPdS3 at its relaxed geometry, computed with PBE.

```
ZrPdS3
1.0
-2.259 -2.728 -0.798
4.569 -4.092 1.055
-1.441 0.835 9.483
Zr Pd S
2 2 6
Cartesian
0.642 -2.500 6.730
-1.846 -1.628 2.531
1.518 -5.645 6.742
1.261 -2.050 3.438
-1.729 -3.108 7.261
3.257 -3.466 2.630
-0.003 -2.864 1.542
1.734 -3.891 8.396
0.562 -4.266 4.733
-0.645 -0.866 4.787
```



Calculated relative energies: run P 0.768; run Q 0.000, given in eV/atom